The following is a PBE calculation of a geometry-optimized YInCoTc structure, from OQMD via LeMat-Bulk.

Calculated values
**SG**: F-43m, No. 216

Cell: 4.666 4.666 4.666 Å, 60.00 60.00 60.00°
Positions (direct):
Y (0.000, 0.000, 0.000)
In (0.500, 0.500, 0.500)
Co (0.750, 0.750, 0.750)
Tc (0.250, 0.250, 0.250)

The following is a PBE calculation of a geometry-optimized Hf2TaCo structure, from OQMD via LeMat-Bulk.

Calculated values
**SG**: F-43m, No. 216

Cell: 4.620 4.620 4.620 Å, 60.00 60.00 60.00°
Positions (direct):
Hf (0.000, 0.000, 0.000)
Hf (0.250, 0.250, 0.250)
Ta (0.500, 0.500, 0.500)
Co (0.750, 0.750, 0.750)

The following is a PBE calculation of a geometry-optimized YNi2Ge structure, from OQMD via LeMat-Bulk.

Calculated values
**SG**: Pmc2_1, No. 26

Cell: 4.294 4.516 7.073 Å, 90.00 90.00 90.00°
Positions (direct):
Y (0.000, 0.069, 0.000)
Y (0.000, 0.931, 0.500)
Ni (0.000, 0.490, 0.744)
Ni (0.000, 0.510, 0.244)
Ni (0.500, 0.213, 0.691)
Ni (0.500, 0.787, 0.191)
Ge (0.500, 0.304, 0.332)
Ge (0.500, 0.696, 0.832)

The following is a PBE calculation of a geometry-optimized La2Pr2Se3O4 structure, from OQMD via LeMat-Bulk.

Calculated values
**SG**: Amm2, No. 38

Cell: 8.509 6.851 6.851 Å, 34.57 90.00 90.00°
Positions (direct):
La (0.238, 0.000, 0.000)
La (0.762, 0.000, 0.000)
Pr (0.000, 0.316, 0.316)
Pr (0.500, 0.331, 0.331)
Se (0.000, 0.631, 0.631)
Se (0.351, 0.675, 0.675)
Se (0.649, 0.675, 0.675)
O (0.000, 0.904, 0.904)
O (0.244, 0.404, 0.404)
O (0.500, 0.930, 0.930)
O (0.756, 0.404, 0.404)

Calculated density
In order: 8.34; 14.22; 6.75; 6.31
Unit: g/cm3
Electronic total energy
In order: -6.51; -9.55; -5.99; -7.32
Unit: eV per atom
Size of the total moment
In order: 1.5; 0.0; 0.0; 0.0
Unit: μB per formula unit